Computed, not measured: a relaxed LiCoC2 crystal at the PBE level of DFT.

* crystal system: cubic
* excess energy over the best structure of this formula in the dataset: 1.28 eV per formula unit

Unit cell a=3.4592 b=3.4592 c=3.4592 alpha=60.00 beta=60.00 gamma=60.00
Last column: nearest neighbours and their distance in Å.
Fractional coordinates of all 4 atoms:
1 Li 0.0000 0.0000 0.0000  8 C 2.12
2 Co 0.5000 0.5000 0.5000  8 C 2.12
3 C 0.2500 0.2500 0.2500  4 Co 2.12, 4 Li 2.12
4 C 0.7500 0.7500 0.7500  4 Li 2.12, 4 Co 2.12

***

Computed, not measured: a relaxed Y4CdIn2 crystal at the PBE level of DFT.

* crystal system: trigonal
* E: -34.51 eV for the cell shown

Unit cell a=9.0404 b=9.0404 c=9.0404 alpha=33.83 beta=33.83 gamma=33.83
Last column: nearest neighbours and their distance in Å.
Fractional coordinates of all 7 atoms:
1 Y 0.1200 0.1200 0.1200  4 In 3.17-3.29, 3 Cd 3.26
2 Y 0.3718 0.3718 0.3718  4 In 3.14-3.26, 1 Cd 3.28
3 Y 0.6282 0.6282 0.6282  4 In 3.14-3.26, 1 Cd 3.28
4 Y 0.8800 0.8800 0.8800  4 In 3.17-3.29, 3 Cd 3.26
5 Cd 0.5000 0.5000 0.5000  8 Y 3.26-3.28
6 In 0.2489 0.2489 0.2489  8 Y 3.14-3.29
7 In 0.7511 0.7511 0.7511  8 Y 3.14-3.29

***

It is found that the total magnetic moment values, taken in the order of the records, are 0.00; 0.00 Bohr magnetons per cell.